# 1
# Mg14ZnMo

A relaxed Mg14ZnMo crystal (GGA-PBE, Alexandria).

Output
Formation energy: 89 meV/atom
Volume: 338.3 Å³/cell
DOS at the Fermi energy: 7.568 states/eV/cell
Total magnetic moment: 1.6 Bohr magnetons per cell

Cell lengths 6.2303, 6.2303, 10.0775 Å; angles 90.00, 90.00, 120.15 degrees
Closest atoms and distances in Å follow each position.
Sites, in units of the cell vectors:
1 Mg 0.8344 0.1656 0.0000  12 Mg 3.09-3.23
2 Mg 0.3344 0.6656 0.0000  12 Mg 3.10-3.21
3 Mg 0.3353 0.1626 0.5000  8 Mg 3.01-3.12, 2 Mo 3.07-3.16, 2 Zn 3.08-3.15
4 Mg 0.3312 0.1666 0.0000  12 Mg 3.09-3.25
5 Mg 0.8374 0.6647 0.5000  8 Mg 3.01-3.12, 2 Mo 3.07-3.16, 2 Zn 3.08-3.15
6 Mg 0.8334 0.6688 0.0000  12 Mg 3.09-3.25
7 Mg 0.1664 0.3410 0.2666  1 Mo 2.94, 1 Zn 2.96, 10 Mg 3.01-3.25
8 Mg 0.1664 0.3410 0.7334  1 Mo 2.94, 1 Zn 2.96, 10 Mg 3.01-3.25
9 Mg 0.6590 0.8336 0.2666  1 Mo 2.94, 1 Zn 2.96, 10 Mg 3.01-3.25
10 Mg 0.6590 0.8336 0.7334  1 Mo 2.94, 1 Zn 2.96, 10 Mg 3.01-3.25
11 Mg 0.6677 0.3323 0.2524  1 Zn 3.06, 11 Mg 3.07-3.15
12 Mg 0.6677 0.3323 0.7476  1 Zn 3.06, 11 Mg 3.07-3.15
13 Mg 0.1718 0.8282 0.2575  1 Mo 2.99, 11 Mg 3.02-3.21
14 Mg 0.1718 0.8282 0.7425  1 Mo 2.99, 11 Mg 3.02-3.21
15 Zn 0.8318 0.1682 0.5000  10 Mg 2.96-3.15, 2 Mo 3.11
16 Mo 0.3319 0.6681 0.5000  10 Mg 2.94-3.16, 2 Zn 3.11

***

# 2
# Mg2ZnMo

A relaxed Mg2ZnMo crystal (GGA-PBE, Alexandria).

Output
Formation energy: 305 meV/atom
Volume: 68.1 Å³/cell
DOS at the Fermi energy: 2.720 states/eV/cell
Total magnetic moment: 0.0 Bohr magnetons per cell

Cell lengths 5.1129, 5.1129, 5.1129 Å; angles 133.98, 133.98, 67.12 degrees
Closest atoms and distances in Å follow each position.
Sites, in units of the cell vectors:
1 Mg 0.0000 0.0000 0.0000  4 Mg 2.83, 4 Mo 2.92, 4 Zn 2.92
2 Mg 0.5000 0.5000 0.0000  4 Mg 2.83, 4 Zn 2.92, 4 Mo 2.92
3 Mo 0.2500 0.7500 0.5000  4 Zn 2.83, 8 Mg 2.92
4 Zn 0.7500 0.2500 0.5000  4 Mo 2.83, 8 Mg 2.92

***

# 3
# Mg2ZnMo

A relaxed Mg2ZnMo crystal (GGA-PBE, Alexandria).

Output
Formation energy: 157 meV/atom
Volume: 70.4 Å³/cell
DOS at the Fermi energy: 1.688 states/eV/cell
Total magnetic moment: 0.0 Bohr magnetons per cell

Cell lengths 2.8167, 2.8167, 9.0562 Å; angles 90.00, 90.00, 101.55 degrees
Closest atoms and distances in Å follow each position.
Sites, in units of the cell vectors:
1 Mg 0.0000 0.0000 0.9798  4 Mg 2.82, 4 Zn 2.83-3.10
2 Mg 0.5000 0.5000 0.2693  4 Mg 2.82, 4 Mo 2.84-3.11
3 Mo 0.0000 0.0000 0.5136  4 Zn 2.70-2.98, 4 Mo 2.82, 2 Mg 2.84
4 Zn 0.5000 0.5000 0.7372  4 Mo 2.70-2.98, 4 Zn 2.82, 2 Mg 2.83

***

# 4
# Mg2ZnMo

A relaxed Mg2ZnMo crystal (GGA-PBE, Alexandria).

Output
Formation energy: 163 meV/atom
Volume: 67.0 Å³/cell
DOS at the Fermi energy: 1.944 states/eV/cell
Total magnetic moment: 0.0 Bohr magnetons per cell

Cell lengths 4.0344, 4.0344, 4.1176 Å; angles 90.00, 90.00, 90.00 degrees
Closest atoms and distances in Å follow each position.
Sites, in units of the cell vectors:
1 Mg 0.0000 0.0000 0.0000  4 Mg 2.85, 4 Mo 2.88, 4 Zn 2.88
2 Mg 0.5000 0.5000 0.0000  4 Mg 2.85, 4 Mo 2.88, 4 Zn 2.88
3 Mo 0.5000 0.0000 0.5000  4 Zn 2.85, 8 Mg 2.88
4 Zn 0.0000 0.5000 0.5000  4 Mo 2.85, 8 Mg 2.88

***

# 5
# Mg2ZnMo

A relaxed Mg2ZnMo crystal (GGA-PBE, Alexandria).

Output
Formation energy: 227 meV/atom
Volume: 67.5 Å³/cell
DOS at the Fermi energy: 1.691 states/eV/cell
Total magnetic moment: 0.0 Bohr magnetons per cell

Cell lengths 5.5336, 5.5336, 5.5336 Å; angles 148.90, 128.90, 61.03 degrees
Closest atoms and distances in Å follow each position.
Sites, in units of the cell vectors:
1 Mg 0.9871 0.9871 0.0000  2 Zn 2.70, 6 Mg 2.82-2.97, 2 Mo 2.91
2 Mg 0.5129 0.5129 0.0000  2 Zn 2.70, 6 Mg 2.82-2.97, 2 Mo 2.91
3 Mo 0.2500 0.7500 0.5000  4 Zn 2.81, 4 Mg 2.91, 2 Mo 2.97
4 Zn 0.7500 0.2500 0.5000  4 Mg 2.70, 4 Mo 2.81, 2 Zn 2.97

***

# 6
# Mg2ZrMo

A relaxed Mg2ZrMo crystal (GGA-PBE, Alexandria).

Output
Formation energy: 187 meV/atom
Volume: 83.2 Å³/cell
DOS at the Fermi energy: 3.470 states/eV/cell
Total magnetic moment: 0.0 Bohr magnetons per cell

Cell lengths 3.4735, 3.4735, 6.8931 Å; angles 90.00, 90.00, 90.00 degrees
Closest atoms and distances in Å follow each position.
Sites, in units of the cell vectors:
1 Mg 0.0000 0.0000 0.9986  4 Mg 3.10, 4 Zr 3.18, 1 Mo 3.28
2 Mg 0.5000 0.5000 0.2729  1 Zr 2.98, 4 Mo 3.00, 4 Mg 3.10
3 Mo 0.0000 0.0000 0.5229  4 Zr 2.76, 4 Mg 3.00
4 Zr 0.5000 0.5000 0.7056  4 Mo 2.76, 1 Mg 2.98

***

# 7
# Mg2ZrMo

A relaxed Mg2ZrMo crystal (GGA-PBE, Alexandria).

Output
Formation energy: 390 meV/atom
Volume: 77.6 Å³/cell
DOS at the Fermi energy: 3.172 states/eV/cell
Total magnetic moment: 0.0 Bohr magnetons per cell

Cell lengths 3.6697, 3.6697, 5.7596 Å; angles 90.00, 90.00, 90.00 degrees
Closest atoms and distances in Å follow each position.
Sites, in units of the cell vectors:
1 Mg 0.0000 0.0000 0.0196  1 Mg 2.65, 4 Mo 2.91
2 Mg 0.0000 0.0000 0.4804  1 Mg 2.65, 4 Mo 2.91
3 Mo 0.5000 0.5000 0.2500  2 Zr 2.88, 8 Mg 2.91
4 Zr 0.5000 0.5000 0.7500  2 Mo 2.88, 8 Mg 3.02

***

# 8
# Mg2ZrMo

A relaxed Mg2ZrMo crystal (GGA-PBE, Alexandria).

Output
Formation energy: 188 meV/atom
Volume: 78.4 Å³/cell
DOS at the Fermi energy: 3.409 states/eV/cell
Total magnetic moment: 0.0 Bohr magnetons per cell

Cell lengths 5.8180, 5.8180, 5.8180 Å; angles 145.92, 134.23, 58.28 degrees
Closest atoms and distances in Å follow each position.
Sites, in units of the cell vectors:
1 Mg 0.9847 0.9847 0.0000  4 Mg 2.85, 2 Mo 2.93, 2 Zr 3.19
2 Mg 0.5153 0.5153 0.0000  4 Mg 2.85, 2 Mo 2.93, 2 Zr 3.19
3 Mo 0.7500 0.2500 0.5000  4 Zr 2.83, 4 Mg 2.93
4 Zr 0.2500 0.7500 0.5000  4 Mo 2.83

***

# 9
# Mg2ZrMo

A relaxed Mg2ZrMo crystal (GGA-PBE, Alexandria).

Output
Formation energy: 245 meV/atom
Volume: 78.0 Å³/cell
DOS at the Fermi energy: 3.601 states/eV/cell
Total magnetic moment: 0.0 Bohr magnetons per cell

Cell lengths 5.8044, 5.8044, 2.8860 Å; angles 81.64, 81.64, 122.65 degrees
Closest atoms and distances in Å follow each position.
Sites, in units of the cell vectors:
1 Mg 0.0000 0.0000 0.0000  4 Mg 2.79-2.89, 2 Mo 3.05, 2 Zr 3.05
2 Mg 0.5000 0.5000 0.0000  4 Mg 2.79-2.89, 2 Zr 3.05, 2 Mo 3.05
3 Mo 0.5000 0.0000 0.5000  2 Zr 2.79, 2 Mo 2.89, 4 Mg 3.05
4 Zr 0.0000 0.5000 0.5000  2 Mo 2.79, 2 Zr 2.89, 4 Mg 3.05

***

# 10
# MgZrMo2

A relaxed MgZrMo2 crystal (GGA-PBE, Alexandria).

Output
Formation energy: 443 meV/atom
Volume: 73.0 Å³/cell
DOS at the Fermi energy: 4.980 states/eV/cell
Total magnetic moment: 0.0 Bohr magnetons per cell

Cell lengths 10.2224, 10.2224, 10.2224 Å; angles 16.26, 16.26, 16.26 degrees
Closest atoms and distances in Å follow each position.
Sites, in units of the cell vectors:
1 Mg 0.7500 0.7500 0.7500  6 Mg 2.89, 6 Mo 2.97
2 Mo 0.0023 0.0023 0.0023  6 Mo 2.89, 3 Mg 2.97, 3 Zr 3.08
3 Mo 0.4977 0.4977 0.4977  6 Mo 2.89, 3 Mg 2.97, 3 Zr 3.08
4 Zr 0.2500 0.2500 0.2500  6 Zr 2.89, 6 Mo 3.08

***

# 11
# MgZr4Mo

A relaxed MgZr4Mo crystal (GGA-PBE, Alexandria).

Output
Formation energy: 542 meV/atom
Volume: 132.2 Å³/cell
DOS at the Fermi energy: 9.760 states/eV/cell
Total magnetic moment: 0.0 Bohr magnetons per cell

Cell lengths 5.7178, 5.7178, 5.7178 Å; angles 60.00, 60.00, 60.00 degrees
Closest atoms and distances in Å follow each position.
Sites, in units of the cell vectors:
1 Mg 0.7500 0.7500 0.7500  12 Zr 3.36, 4 Mo 3.50
2 Zr 0.8813 0.3729 0.3729  6 Zr 2.81-2.91
3 Zr 0.3729 0.3729 0.8813  6 Zr 2.81-2.91
4 Zr 0.3729 0.8813 0.3729  6 Zr 2.81-2.91
5 Zr 0.3729 0.3729 0.3729  6 Zr 2.81-2.91
6 Mo 0.0000 0.0000 0.0000  12 Zr 3.35, 4 Mg 3.50

***

# 12
# MgZrMo2

A relaxed MgZrMo2 crystal (GGA-PBE, Alexandria).

Output
Formation energy: 333 meV/atom
Volume: 72.2 Å³/cell
DOS at the Fermi energy: 4.827 states/eV/cell
Total magnetic moment: 0.0 Bohr magnetons per cell

Cell lengths 5.3696, 5.3696, 5.3696 Å; angles 136.58, 136.58, 63.09 degrees
Closest atoms and distances in Å follow each position.
Sites, in units of the cell vectors:
1 Mg 0.7500 0.2500 0.5000  4 Zr 2.81, 8 Mo 3.03
2 Mo 0.0000 0.0000 0.0000  4 Mo 2.81, 4 Mg 3.03, 4 Zr 3.03
3 Mo 0.5000 0.5000 0.0000  4 Mo 2.81, 4 Zr 3.03, 4 Mg 3.03
4 Zr 0.2500 0.7500 0.5000  4 Mg 2.81, 8 Mo 3.03